The following is a DFT calculation (PBE-GGA) of a relaxed structure of Pm5CdPd3.

Structure (CIF):
```
data_Pm5CdPd3
_chemical_formula_sum 'Pm10 Cd2 Pd6'
_space_group_name_H-M_alt 'P 63/m c m'
_space_group_IT_number 193
_space_group_name_Hall '-P 6c 2'
_cell_length_a 8.7845
_cell_length_b 8.7845
_cell_length_c 7.0183
_cell_angle_alpha 90.00
_cell_angle_beta 90.00
_cell_angle_gamma 120.00
loop_
_atom_site_label
_atom_site_type_symbol
_atom_site_fract_x
_atom_site_fract_y
_atom_site_fract_z
Pm1 Pm 0.0000 0.2975 0.2500
Pm2 Pm 0.3333 0.6667 0.0000
Cd1 Cd 0.0000 0.0000 0.0000
Pd1 Pd 0.0000 0.3747 0.7500
```

Calculated values
For the density, the calculation gives 8.189 g cm⁻³.

***

The following is a DFT calculation (PBE-GGA) of a relaxed structure of Ti2MoPb.

Structure (CIF):
```
data_Ti2MoPb
_chemical_formula_sum 'Ti6 Mo3 Pb3'
_space_group_name_H-M_alt 'R -3 m'
_space_group_IT_number 166
_space_group_name_Hall '-R 3 2"'
_cell_length_a 3.1860
_cell_length_b 3.1860
_cell_length_c 26.2380
_cell_angle_alpha 90.00
_cell_angle_beta 90.00
_cell_angle_gamma 120.00
loop_
_atom_site_label
_atom_site_type_symbol
_atom_site_fract_x
_atom_site_fract_y
_atom_site_fract_z
Ti1 Ti 0.0000 0.0000 0.2383
Mo1 Mo 0.0000 0.0000 0.5000
Pb1 Pb 0.0000 0.0000 0.0000
```

Calculated values
For the density, the calculation gives 8.615 g cm⁻³.

***

no.,ΔH_f (0 K) (eV per atom)
1,-0.4677
2,0.0774